Record 1
Density functional theory data (meta-GGA SCAN) for MgReOs3 at its PBEsol-relaxed geometry.

Lattice parameters (Å, degrees): 4.679 4.679 4.679 90.00 90.00 90.00
Element x y z (fractional)
Mg 0.000 0.000 0.000
Re 0.500 0.500 0.500
Os 0.000 0.500 0.500
Os 0.500 0.000 0.500
Os 0.500 0.500 0.000

## Properties
Crystal system: cubic
Total magnetization in μB per formula unit: 0.00
Calculated density in g/cm³: 12.7


Record 2
Density functional theory data (meta-GGA SCAN) for Mg2ReOs at its PBEsol-relaxed geometry.

Lattice parameters (Å, degrees): 2.685 4.503 5.151 90.00 100.82 90.00
Element x y z (fractional)
Mg 0.238 0.000 0.251
Mg 0.762 0.000 0.749
Re 0.500 0.500 0.000
Os 0.000 0.500 0.500

## Properties
Crystal system: monoclinic
Total magnetization in μB per formula unit: 0.00
Calculated density in g/cm³: 11.5


Record 3
Density functional theory data (meta-GGA SCAN) for MgOs2Rh at its PBEsol-relaxed geometry.

Lattice parameters (Å, degrees): 2.758 3.798 5.497 90.00 90.00 90.00
Element x y z (fractional)
Mg 0.000 0.000 0.000
Os 0.000 0.000 0.496
Os 0.500 0.500 0.289
Rh 0.500 0.500 0.775

## Properties
Crystal system: orthorhombic
Total magnetization in μB per formula unit: 0.00
Calculated density in g/cm³: 14.6


Record 4
Density functional theory data (meta-GGA SCAN) for Mg2OsRh at its PBEsol-relaxed geometry.

Lattice parameters (Å, degrees): 5.189 5.189 5.189 147.46 126.10 64.39
Element x y z (fractional)
Mg 0.243 0.243 0.000
Mg 0.757 0.757 0.000
Os 0.500 0.000 0.500
Rh 0.000 0.500 0.500

## Properties
Crystal system: orthorhombic
Total magnetization in μB per formula unit: 0.73
Calculated density in g/cm³: 9.4


Quick rundown of final energy, same order as above: -56.46 -38.02 -45.59 -28.89 eV per atom